(1)
The following is a DFT calculation (PBE) of a geometry-optimized ReHgRh2 structure.

- Calculated volume: 64.0 Å³/f.u.
- D(E_F): 4.07 states/eV per cell
- Calculated total energy: -6.554 eV per atom

Cell: 2.790 4.035 5.688 Å, 90.00 90.00 90.00°
Atoms (fractional coordinates):
Re  0.500  0.500  0.794
Hg  0.000  0.000  0.489
Rh  0.000  0.000  0.979
Rh  0.500  0.500  0.237

---

(2)
The following is a DFT calculation (PBE) of a geometry-optimized ReHgRh structure.

- Calculated volume: 49.7 Å³/f.u.
- Energy above the lowest structure with this stoichiometry: 9 kJ/mol of formula units
- D(E_F): 7.27 states/eV per cell
- Calculated total energy: -6.389 eV per atom

Cell: 2.853 2.853 21.162 Å, 90.00 90.00 120.00°
Atoms (fractional coordinates):
Re  0.000  0.000  0.151
Re  0.333  0.667  0.818
Re  0.667  0.333  0.485
Hg  0.000  0.000  0.939
Hg  0.333  0.667  0.605
Hg  0.667  0.333  0.272
Rh  0.000  0.000  0.389
Rh  0.333  0.667  0.056
Rh  0.667  0.333  0.722

---

(3)
The following is a DFT calculation (PBE) of a geometry-optimized Re2HgRh structure.

- Calculated volume: 64.6 Å³/f.u.
- D(E_F): 6.02 states/eV per cell
- Calculated total energy: -7.900 eV per atom

Cell: 9.401 9.401 9.401 Å, 17.36 17.36 17.36°
Atoms (fractional coordinates):
Re  0.007  0.007  0.007
Re  0.750  0.750  0.750
Hg  0.249  0.249  0.249
Rh  0.494  0.494  0.494

---

(4)
The following is a DFT calculation (PBE) of a geometry-optimized ReHgRh structure.

- Calculated volume: 49.7 Å³/f.u.
- Energy above the lowest structure with this stoichiometry: 0 kJ/mol of formula units
- D(E_F): 2.62 states/eV per cell
- Calculated total energy: -6.421 eV per atom

Cell: 6.460 6.460 6.460 Å, 154.55 154.55 36.30°
Atoms (fractional coordinates):
Re  0.317  0.317  0.000
Hg  0.001  0.001  0.000
Rh  0.682  0.682  0.000

---

(5)
The following is a DFT calculation (PBE) of a geometry-optimized ReHgRh structure.

- Calculated volume: 56.4 Å³/f.u.
- Energy above the lowest structure with this stoichiometry: 145 kJ/mol of formula units
- D(E_F): 1.04 states/eV per cell
- Calculated total energy: -5.920 eV per atom

Cell: 4.304 4.304 4.304 Å, 60.00 60.00 60.00°
Atoms (fractional coordinates):
Re  0.500  0.500  0.500
Hg  0.000  0.000  0.000
Rh  0.750  0.750  0.750

---

(6)
The following is a DFT calculation (PBE) of a geometry-optimized ReHgRh2 structure.

- Calculated volume: 72.6 Å³/f.u.
- D(E_F): 12.60 states/eV per cell
- Calculated total energy: -6.199 eV per atom

Cell: 7.217 7.217 5.814 Å, 51.64 51.64 90.00°
Atoms (fractional coordinates):
Re  0.500  0.500  0.000
Re  0.250  0.750  0.500
Rh  0.577  0.125  0.250
Rh  0.173  0.625  0.250
Rh  0.375  0.423  0.750
Rh  0.875  0.827  0.750
Hg  0.000  0.000  0.000
Hg  0.750  0.250  0.500

---

(7)
The following is a DFT calculation (PBE) of a geometry-optimized ReHgRh2 structure.

- Calculated volume: 63.5 Å³/f.u.
- D(E_F): 5.69 states/eV per cell
- Calculated total energy: -6.548 eV per atom

Cell: 2.799 2.799 8.104 Å, 90.00 90.00 90.00°
Atoms (fractional coordinates):
Re  0.500  0.500  0.775
Hg  0.000  0.000  0.495
Rh  0.000  0.000  0.994
Rh  0.500  0.500  0.235

---

(8)
The following is a DFT calculation (PBE) of a geometry-optimized ReHgRh2 structure.

- Calculated volume: 63.7 Å³/f.u.
- D(E_F): 2.10 states/eV per cell
- Calculated total energy: -6.781 eV per atom

Cell: 9.338 9.338 9.338 Å, 17.42 17.42 17.42°
Atoms (fractional coordinates):
Re  0.000  0.000  0.000
Hg  0.500  0.500  0.500
Rh  0.743  0.743  0.743
Rh  0.257  0.257  0.257

---

(9)
The following is a DFT calculation (PBE) of a geometry-optimized Re2HgRh structure.

- Calculated volume: 63.9 Å³/f.u.
- D(E_F): 5.20 states/eV per cell
- Calculated total energy: -7.478 eV per atom

Cell: 5.066 5.066 2.780 Å, 90.00 90.00 116.43°
Atoms (fractional coordinates):
Re  0.500  0.000  0.000
Re  0.000  0.500  0.000
Hg  0.500  0.500  0.500
Rh  0.000  0.000  0.500

---

(10)
The following is a DFT calculation (PBE) of a geometry-optimized Re2HgRh structure.

- Calculated volume: 63.7 Å³/f.u.
- D(E_F): 3.49 states/eV per cell
- Calculated total energy: -7.691 eV per atom

Cell: 5.004 5.004 4.802 Å, 79.79 79.79 32.62°
Atoms (fractional coordinates):
Re  0.239  0.239  0.766
Re  0.761  0.761  0.234
Hg  0.000  0.000  0.500
Rh  0.500  0.500  0.000

---

(11)
The following is a DFT calculation (PBE) of a geometry-optimized ReHgRh2 structure.

- Calculated volume: 62.9 Å³/f.u.
- D(E_F): 4.33 states/eV per cell
- Calculated total energy: -6.534 eV per atom

Cell: 4.830 4.830 2.816 Å, 90.00 90.00 106.95°
Atoms (fractional coordinates):
Re  0.500  0.500  0.500
Hg  0.000  0.000  0.500
Rh  0.500  0.000  0.000
Rh  0.000  0.500  0.000

---

(12)
The following is a DFT calculation (PBE) of a geometry-optimized ReHgRh2 structure.

- Calculated volume: 63.5 Å³/f.u.
- D(E_F): 3.06 states/eV per cell
- Calculated total energy: -6.888 eV per atom

Cell: 2.824 2.824 7.958 Å, 90.00 90.00 90.00°
Atoms (fractional coordinates):
Re  0.500  0.500  0.750
Rh  0.000  0.000  0.974
Rh  0.000  0.000  0.526
Hg  0.500  0.500  0.250

---

(13)
The following is a DFT calculation (PBE) of a geometry-optimized ReHgRh2 structure.

- Calculated volume: 62.8 Å³/f.u.
- D(E_F): 3.56 states/eV per cell
- Calculated total energy: -6.449 eV per atom

Cell: 4.984 4.984 4.984 Å, 134.13 134.13 66.88°
Atoms (fractional coordinates):
Re  0.750  0.250  0.500
Hg  0.500  0.500  0.000
Rh  0.000  0.000  0.000
Rh  0.250  0.750  0.500

---

(14)
The following is a DFT calculation (PBE) of a geometry-optimized Re2HgRh structure.

- Calculated volume: 64.7 Å³/f.u.
- D(E_F): 4.73 states/eV per cell
- Calculated total energy: -7.220 eV per atom

Cell: 4.819 4.819 2.785 Å, 90.00 90.00 90.00°
Atoms (fractional coordinates):
Re  0.500  0.000  0.000
Re  0.000  0.500  0.000
Hg  0.000  0.000  0.500
Rh  0.500  0.500  0.500

---

(15)
The following is a DFT calculation (PBE) of a geometry-optimized ReHgRh2 structure.

- Calculated volume: 62.6 Å³/f.u.
- D(E_F): 4.07 states/eV per cell
- Calculated total energy: -6.523 eV per atom

Cell: 4.813 4.813 4.813 Å, 130.74 130.74 72.23°
Each line ends with the local moment (μB).
Atoms (fractional coordinates):
Re  0.000  0.000  0.000  0.42
Hg  0.500  0.500  0.000  0.00
Rh  0.750  0.250  0.500  0.05
Rh  0.250  0.750  0.500  0.05

---

(16)
The following is a DFT calculation (PBE) of a geometry-optimized Re2HgRh structure.

- Calculated volume: 64.6 Å³/f.u.
- D(E_F): 3.86 states/eV per cell
- Calculated total energy: -7.464 eV per atom

Cell: 4.504 4.504 4.504 Å, 60.00 60.00 60.00°
Each line ends with the local moment (μB).
Atoms (fractional coordinates):
Re  0.000  0.000  0.000  0.60
Re  0.750  0.750  0.750  -0.10
Hg  0.500  0.500  0.500  0.01
Rh  0.250  0.250  0.250  0.28

---

(17)
The following is a DFT calculation (PBE) of a geometry-optimized Re2HgRh structure.

- Calculated volume: 64.4 Å³/f.u.
- D(E_F): 3.38 states/eV per cell
- Calculated total energy: -7.603 eV per atom

Cell: 4.866 4.866 4.866 Å, 132.41 129.23 72.13°
Atoms (fractional coordinates):
Re  0.985  0.985  0.000
Re  0.774  0.274  0.500
Hg  0.244  0.744  0.500
Rh  0.497  0.497  0.000

---

(18)
The following is a DFT calculation (PBE) of a geometry-optimized ReHgRh2 structure.

- Calculated volume: 63.3 Å³/f.u.
- D(E_F): 4.00 states/eV per cell
- Calculated total energy: -6.559 eV per atom

Cell: 4.763 4.763 5.043 Å, 81.85 81.85 34.02°
Atoms (fractional coordinates):
Re  0.500  0.500  0.000
Hg  0.000  0.000  0.500
Rh  0.245  0.245  0.774
Rh  0.755  0.755  0.226

---

(19)
The following is a DFT calculation (PBE) of a geometry-optimized ReHgRh2 structure.

- Calculated volume: 68.4 Å³/f.u.
- D(E_F): 3.02 states/eV per cell
- Calculated total energy: -6.505 eV per atom

Cell: 6.170 6.170 6.170 Å, 153.90 138.34 49.82°
Atoms (fractional coordinates):
Re  0.780  0.280  0.500
Hg  0.543  0.543  0.000
Rh  0.966  0.966  0.000
Rh  0.212  0.712  0.500

---

(20)
The following is a DFT calculation (PBE) of a geometry-optimized ReHgRh structure.

- Calculated volume: 49.2 Å³/f.u.
- Energy above the lowest structure with this stoichiometry: 117 kJ/mol of formula units
- D(E_F): 2.74 states/eV per cell
- Calculated total energy: -6.016 eV per atom

Cell: 4.557 4.557 2.739 Å, 90.00 90.00 120.00°
Atoms (fractional coordinates):
Re  0.333  0.667  0.333
Hg  0.000  0.000  0.835
Rh  0.667  0.333  0.832

---

(21)
The following is a DFT calculation (PBE) of a geometry-optimized ReHgRh2 structure.

- Calculated volume: 63.8 Å³/f.u.
- D(E_F): 6.32 states/eV per cell
- Calculated total energy: -6.253 eV per atom

Cell: 4.485 4.485 4.485 Å, 60.00 60.00 60.00°
Atoms (fractional coordinates):
Re  0.750  0.750  0.750
Hg  0.500  0.500  0.500
Rh  0.000  0.000  0.000
Rh  0.250  0.250  0.250

---

(22)
The following is a DFT calculation (PBE) of a geometry-optimized Re2HgRh structure.

- Calculated volume: 64.2 Å³/f.u.
- D(E_F): 4.03 states/eV per cell
- Calculated total energy: -7.667 eV per atom

Cell: 4.854 4.854 5.052 Å, 81.07 81.07 33.16°
Atoms (fractional coordinates):
Re  0.005  0.005  0.963
Re  0.760  0.760  0.767
Hg  0.245  0.245  0.266
Rh  0.489  0.489  0.504

---

(23)
The following is a DFT calculation (PBE) of a geometry-optimized ReHgRh structure.

- Calculated volume: 49.7 Å³/f.u.
- Energy above the lowest structure with this stoichiometry: 13 kJ/mol of formula units
- D(E_F): 2.80 states/eV per cell
- Calculated total energy: -6.376 eV per atom

Cell: 2.851 2.851 7.062 Å, 90.00 90.00 120.00°
Atoms (fractional coordinates):
Re  0.333  0.667  0.546
Hg  0.000  0.000  0.184
Rh  0.667  0.333  0.833

---

(24)
The following is a DFT calculation (PBE) of a geometry-optimized Re2HgRh structure.

- Calculated volume: 64.5 Å³/f.u.
- D(E_F): 3.03 states/eV per cell
- Calculated total energy: -7.891 eV per atom

Cell: 2.845 2.845 7.976 Å, 90.00 90.00 90.00°
Atoms (fractional coordinates):
Re  0.000  0.000  0.028
Re  0.500  0.500  0.250
Hg  0.500  0.500  0.745
Rh  0.000  0.000  0.477

---

(25)
The following is a DFT calculation (PBE) of a geometry-optimized Re2HgRh structure.

- Calculated volume: 65.1 Å³/f.u.
- D(E_F): 3.23 states/eV per cell
- Calculated total energy: -7.615 eV per atom

Cell: 2.780 4.174 5.608 Å, 90.00 90.00 90.00°
Atoms (fractional coordinates):
Re  0.000  0.000  0.786
Re  0.000  0.000  0.214
Hg  0.500  0.500  0.500
Rh  0.500  0.500  0.000

---

(26)
The following is a DFT calculation (PBE) of a geometry-optimized ReHgRh3 structure.

- Calculated volume: 105.3 Å³/f.u.
- Energy above the lowest structure with this stoichiometry: 0 kJ/mol of formula units
- D(E_F): 3.96 states/eV per cell
- Calculated total energy: -5.872 eV per atom

Cell: 4.722 4.722 4.722 Å, 90.00 90.00 90.00°
Atoms (fractional coordinates):
Re  0.000  0.000  0.000
Rh  0.000  0.500  0.000
Rh  0.000  0.000  0.500
Rh  0.500  0.000  0.000
Hg  0.500  0.500  0.500

---

(27)
The following is a DFT calculation (PBE) of a geometry-optimized Re2HgRh structure.

- Calculated volume: 72.3 Å³/f.u.
- D(E_F): 7.46 states/eV per cell
- Calculated total energy: -7.013 eV per atom

Cell: 7.466 7.466 5.882 Å, 50.60 50.60 90.00°
Atoms (fractional coordinates):
Re  0.576  0.125  0.250
Re  0.174  0.625  0.250
Re  0.375  0.424  0.750
Re  0.875  0.826  0.750
Rh  0.500  0.500  0.000
Rh  0.250  0.750  0.500
Hg  0.000  0.000  0.000
Hg  0.750  0.250  0.500

---

(28)
The following is a DFT calculation (PBE) of a geometry-optimized ReHgRh3 structure.

- Calculated volume: 112.9 Å³/f.u.
- Energy above the lowest structure with this stoichiometry: 625 kJ/mol of formula units
- D(E_F): 8.98 states/eV per cell
- Calculated total energy: -4.576 eV per atom

Cell: 4.833 4.833 4.833 Å, 90.00 90.00 90.00°
Each line ends with the local moment (μB).
Atoms (fractional coordinates):
Re  0.500  0.500  0.500  3.09
Rh  0.000  0.500  0.000  -0.21
Rh  0.000  0.000  0.500  -0.26
Rh  0.500  0.000  0.000  -0.15
Hg  0.000  0.000  0.000  -0.03

---

(29)
The following is a DFT calculation (PBE) of a geometry-optimized ReHg3Rh structure.

- Calculated volume: 139.6 Å³/f.u.
- Energy above the lowest structure with this stoichiometry: 0 kJ/mol of formula units
- D(E_F): 2.77 states/eV per cell
- Calculated total energy: -2.707 eV per atom

Cell: 5.187 5.187 5.187 Å, 90.00 90.00 90.00°
Each line ends with the local moment (μB).
Atoms (fractional coordinates):
Re  0.500  0.500  0.500  3.98
Rh  0.000  0.000  0.000  0.15
Hg  0.000  0.500  0.000  -0.01
Hg  0.000  0.000  0.500  0.01
Hg  0.500  0.000  0.000  0.05

---

(30)
The following is a DFT calculation (PBE) of a geometry-optimized ReHgRh2 structure.

- Calculated volume: 63.1 Å³/f.u.
- D(E_F): 5.13 states/eV per cell
- Calculated total energy: -6.404 eV per atom

Cell: 2.785 4.910 5.028 Å, 66.71 90.00 90.00°
Atoms (fractional coordinates):
Re  0.000  0.500  0.500
Hg  0.500  0.500  0.000
Rh  0.000  0.000  0.000
Rh  0.500  0.000  0.500